Density functional theory data (PBE) for CuC after structural relaxation.

Cell: 4.7222 6.3491 3.9599 Å, 90.00 110.56 90.00°
Last column: nearest neighbours and their distance in Å.
Positions (direct):
C  0.6180  0.4234  0.1440  1 C 1.28
C  0.3820  0.4234  0.8560  1 C 1.28
C  0.6180  0.9234  0.6440  1 C 1.28
C  0.3820  0.9234  0.3560  1 C 1.28
Cu  0.5000  0.6060  0.5000  4 C 2.05-2.12
Cu  0.5000  0.1060  0.0000  4 C 2.05-2.12
Cu  0.0000  0.9158  0.0000  2 C 1.86
Cu  0.0000  0.4158  0.5000  2 C 1.86

magnetization: 0.00 μB per formula unit
formation energy: 0.761 eV per atom
calculated volume: 13.89 Å³/atom
ΔE to the lowest computed polymorph: 104.3 kJ/mol of formula units
electronic total energy: -5.899 eV/atom